1.
The following is a DFT calculation (meta-GGA SCAN) of a crystal of SiHg3Rh relaxed with PBEsol.

abc: 4.838 4.838 4.838
angles: 90.00 90.00 90.00
Space group Pm-3m (No. 221)
Unique sites:
1 Si 0.000 0.000 0.000 x1
2 Hg 0.000 0.000 0.500 x3
3 Rh 0.500 0.500 0.500 x1

total energy = -48.75 eV per atom
uncorrected formation energy = 0.91 eV/atom

=====

2.
The following is a DFT calculation (meta-GGA SCAN) of a crystal of SrSiHgRh2 relaxed with PBEsol.

abc: 4.838 4.838 5.345
angles: 90.00 90.00 90.00
Space group P4/mmm (No. 123)
Unique sites:
1 Sr 0.000 0.000 0.000 x1
2 Si 0.000 0.000 0.500 x1
3 Hg 0.500 0.500 0.500 x1
4 Rh 0.000 0.500 0.000 x2

total energy = -31.77 eV per atom
uncorrected formation energy = 1.83 eV/atom

=====

3.
The following is a DFT calculation (meta-GGA SCAN) of a crystal of SrHgRh2 relaxed with PBEsol.

abc: 3.429 3.429 6.552
angles: 90.00 90.00 90.00
Space group P4/mmm (No. 123)
Unique sites:
1 Sr 0.000 0.000 0.000 x1
2 Hg 0.000 0.000 0.500 x1
3 Rh 0.500 0.500 0.291 x2

total energy = -39.41 eV per atom

=====

4.
The following is a DFT calculation (meta-GGA SCAN) of a crystal of SrHgRh2 relaxed with PBEsol.

abc: 4.5928 4.5928 15.4981
angles: 90.00 90.00 120.00
Space group R-3m (No. 166, hexagonal axes)
Unique sites:
1 Sr 0.0000 0.0000 0.0000 x3
2 Hg 0.0000 0.0000 0.5000 x3
3 Rh 0.0000 0.0000 0.1803 x6

total energy = -39.69 eV per atom

=====

5.
The following is a DFT calculation (meta-GGA SCAN) of a crystal of SrHgRh2 relaxed with PBEsol.

abc: 4.4511 4.4511 15.6089
angles: 90.00 90.00 120.00
Space group R3m (No. 160, hexagonal axes)
Unique sites:
1 Sr 0.0000 0.0000 0.0000 x3
2 Hg 0.0000 0.0000 0.8007 x3
3 Rh 0.0000 0.0000 0.1971 x3
4 Rh 0.0000 0.0000 0.5271 x3

total energy = -39.72 eV per atom

=====

6.
The following is a DFT calculation (meta-GGA SCAN) of a crystal of Ta2HgRh relaxed with PBEsol.

abc: 2.961 4.831 9.619
angles: 90.00 90.00 90.00
Space group Imm2 (No. 44)
Unique sites:
1 Ta 0.000 0.000 0.000 x2
2 Ta 0.000 0.500 0.250 x2
3 Hg 0.000 0.500 0.777 x2
4 Rh 0.000 0.000 0.525 x2

total energy = -58.73 eV per atom

=====

One value per record, in order, for N(E_F): 4.7; 4.7; 2.4; 6.4; 9.6; 5.0 states/eV per cell.